[1]
Density functional theory data (PBE) for a relaxed structure of Al2RuSe.

abc: 3.3894 3.3894 6.1911
angles: 90.00 90.00 90.00
Last column: nearest neighbours and their distance in Å.
Fractional coordinates of all 4 atoms:
Al  0.0000  0.0000  0.0000  1 Ru 2.41, 4 Se 2.63
Al  0.5000  0.5000  0.2767  4 Ru 2.50
Ru  0.0000  0.0000  0.3894  5 Al 2.41-2.50
Se  0.5000  0.5000  0.8246  5 Al 2.63-2.80

Calculated values
symmetry = P4mm, No. 99
formation energy (no corrections) = -0.95 eV per formula unit
V = 71 Å³ per cell


[2]
Density functional theory data (PBE) for a relaxed structure of Al2RuSe.

abc: 4.0468 4.0468 7.7317
angles: 90.00 90.00 90.00
Last column: nearest neighbours and their distance in Å.
Fractional coordinates of all 8 atoms:
Al  0.0000  0.0000  0.0000  4 Ru 2.80, 4 Al 2.80, 4 Se 2.86
Al  0.0000  0.5000  0.2500  4 Se 2.80, 4 Al 2.80, 4 Ru 2.86
Al  0.5000  0.0000  0.7500  4 Al 2.80, 4 Se 2.80, 4 Ru 2.86
Al  0.5000  0.5000  0.5000  4 Ru 2.80, 4 Al 2.80, 4 Se 2.86
Ru  0.0000  0.5000  0.7500  8 Al 2.80-2.86, 4 Se 2.80
Ru  0.5000  0.0000  0.2500  4 Se 2.80, 8 Al 2.80-2.86
Se  0.0000  0.0000  0.5000  4 Ru 2.80, 8 Al 2.80-2.86
Se  0.5000  0.5000  0.0000  4 Ru 2.80, 8 Al 2.80-2.86

Calculated values
symmetry = I-4m2, No. 119
formation energy (no corrections) = 0.04 eV per formula unit
V = 127 Å³ per cell